Here is a relaxed LiPm2Tc2N6 crystal from Alexandria via LeMat-Bulk. Energies are from PBE-GGA.

Output
ΔE_f (raw) = -0.349 eV/atom
Final energy = -257.811 eV/cell

a b c (Å): 5.5500 5.5500 17.9639
angles (deg): 90.00 90.00 120.00
Space group R-3m (No. 166, hexagonal axes)
Inequivalent atoms, fractional coordinates:
Li1 0.0000 0.0000 0.0000 [3 per cell]
Pm1 0.0000 0.0000 0.2076 [6 per cell]
Tc1 0.0000 0.0000 0.3968 [6 per cell]
N1 0.0120 0.5060 0.7648 [18 per cell]

---

Here is a relaxed LiPmTc2N4 crystal from Alexandria via LeMat-Bulk. Energies are from PBE-GGA.

Output
ΔE_f (raw) = -0.456 eV/atom
Final energy = -128.691 eV/cell

a b c (Å): 5.490 5.590 6.415
angles (deg): 90.00 90.00 90.00
Space group I222 (No. 23)
Inequivalent atoms, fractional coordinates:
Li1 0.000 0.000 0.000 [2 per cell]
Pm1 0.000 0.000 0.500 [2 per cell]
Tc1 0.000 0.500 0.278 [4 per cell]
N1 0.239 0.241 0.757 [8 per cell]

---

Here is a relaxed Li2PmTeN crystal from Alexandria via LeMat-Bulk. Energies are from PBE-GGA.

Output
ΔE_f (raw) = -0.980 eV/atom
Final energy = -99.774 eV/cell

a b c (Å): 3.734 12.826 7.353
angles (deg): 90.00 90.00 90.00
Space group Cmcm (No. 63)
Inequivalent atoms, fractional coordinates:
Li1 0.000 0.149 0.049 [8 per cell]
Pm1 0.000 0.474 0.250 [4 per cell]
Te1 0.000 0.261 0.750 [4 per cell]
N1 0.000 0.000 0.000 [4 per cell]